Entry 1:
This record from the Alexandria database describes a relaxed CrTc2Br crystal. The functional is GGA-PBE.

Unit cell a=2.9897 b=2.9897 c=6.7461 alpha=90.00 beta=90.00 gamma=90.00
Positions (direct):
Cr (0.0000, 0.0000, 0.0000)
Tc (0.5000, 0.5000, 0.2153)
Tc (0.5000, 0.5000, 0.7847)
Br (0.0000, 0.0000, 0.5000)

DOS(E_F) (states/eV per atom): 0.760
Density (g cm⁻³): 9.03
Formation energy without anion corrections (meV/atom): 508
Relative energy among the computed polymorphs (eV per atom): 0.0413
Total energy (eV/f.u.): -29.996


Entry 2:
This record from the Alexandria database describes a relaxed SmYRuRh crystal. The functional is GGA-PBE.

Unit cell a=6.9099 b=6.9099 c=6.9099 alpha=90.00 beta=90.00 gamma=90.00
Positions (direct):
Sm (0.0000, 0.0000, 0.0000)
Sm (0.0000, 0.5000, 0.5000)
Sm (0.5000, 0.0000, 0.5000)
Sm (0.5000, 0.5000, 0.0000)
Y (0.0000, 0.0000, 0.5000)
Y (0.0000, 0.5000, 0.0000)
Y (0.5000, 0.0000, 0.0000)
Y (0.5000, 0.5000, 0.5000)
Ru (0.2500, 0.2500, 0.2500)
Ru (0.2500, 0.7500, 0.7500)
Ru (0.7500, 0.2500, 0.7500)
Ru (0.7500, 0.7500, 0.2500)
Rh (0.2500, 0.2500, 0.7500)
Rh (0.2500, 0.7500, 0.2500)
Rh (0.7500, 0.2500, 0.2500)
Rh (0.7500, 0.7500, 0.7500)

DOS(E_F) (states/eV per atom): 0.652
Density (g cm⁻³): 8.92
Relative energy among the computed polymorphs (eV per atom): 0.0152
Total energy (eV/f.u.): -29.865
Energy relative to the elements (kJ per mole of atoms): -49.56


Entry 3:
This record from the Alexandria database describes a relaxed TlTeSe2N crystal. The functional is GGA-PBE.

Unit cell a=5.5087 b=5.5087 c=4.1198 alpha=90.00 beta=90.00 gamma=90.00
Positions (direct):
Tl (0.0000, 0.0000, 0.0000)
Te (0.5000, 0.5000, 0.5000)
Se (0.0000, 0.5000, 0.0000)
Se (0.5000, 0.0000, 0.0000)
N (0.0000, 0.0000, 0.5000)

DOS(E_F) (states/eV per atom): 1.894
Density (g cm⁻³): 6.69
Formation energy without anion corrections (meV/atom): 1244
Relative energy among the computed polymorphs (eV per atom): 0.5837
Total energy (eV/f.u.): -14.580


Entry 4:
This record from the Alexandria database describes a relaxed Nd4Mg5Cd crystal. The functional is GGA-PBE.

Unit cell a=8.5722 b=8.5722 c=6.7144 alpha=105.67 beta=105.67 gamma=36.28
Positions (direct):
Nd (0.0987, 0.0987, 0.3921)
Nd (0.3073, 0.3073, 0.1892)
Nd (0.6927, 0.6927, 0.8108)
Nd (0.9013, 0.9013, 0.6079)
Mg (0.0964, 0.0964, 0.9127)
Mg (0.3023, 0.3023, 0.7001)
Mg (0.5000, 0.5000, 0.0000)
Mg (0.6977, 0.6977, 0.2999)
Mg (0.9036, 0.9036, 0.0873)
Cd (0.5000, 0.5000, 0.5000)

DOS(E_F) (states/eV per atom): 0.884
Density (g cm⁻³): 4.81
Total energy (eV/f.u.): -29.274
Energy relative to the elements (kJ per mole of atoms): -12.68


Entry 5:
This record from the Alexandria database describes a relaxed GaAs2Os crystal. The functional is GGA-PBE.

Unit cell a=5.7294 b=5.7294 c=11.1313 alpha=90.00 beta=90.00 gamma=90.00
Positions (direct):
Ga (0.0000, 0.0000, 0.0000)
Ga (0.0000, 0.5000, 0.2500)
Ga (0.5000, 0.0000, 0.7500)
Ga (0.5000, 0.5000, 0.5000)
As (0.2262, 0.2500, 0.6250)
As (0.2500, 0.7262, 0.8750)
As (0.2500, 0.7738, 0.3750)
As (0.2738, 0.2500, 0.1250)
As (0.7262, 0.7500, 0.1250)
As (0.7500, 0.2262, 0.3750)
As (0.7500, 0.2738, 0.8750)
As (0.7738, 0.7500, 0.6250)
Os (0.0000, 0.0000, 0.5000)
Os (0.0000, 0.5000, 0.7500)
Os (0.5000, 0.0000, 0.2500)
Os (0.5000, 0.5000, 0.0000)

DOS(E_F) (states/eV per atom): 0.928
Density (g cm⁻³): 7.45
Total energy (eV/f.u.): -22.709
Energy relative to the elements (kJ per mole of atoms): 20.43


Entry 6:
This record from the Alexandria database describes a relaxed CaCrP2 crystal. The functional is GGA-PBE.

Unit cell a=7.2796 b=3.3698 c=5.7474 alpha=90.00 beta=106.33 gamma=90.00
Positions (direct):
Ca (0.0000, 0.0000, 0.0000)
Ca (0.5000, 0.5000, 0.0000)
Cr (0.0000, 0.5000, 0.5000)
Cr (0.5000, 0.0000, 0.5000)
P (0.2320, 0.0000, 0.6566)
P (0.2680, 0.5000, 0.3434)
P (0.7320, 0.5000, 0.6566)
P (0.7680, 0.0000, 0.3434)

DOS(E_F) (states/eV per atom): 0.680
Density (g cm⁻³): 3.78
Relative energy among the computed polymorphs (eV per atom): 0.1290
Total energy (eV/f.u.): -24.459
Energy relative to the elements (kJ per mole of atoms): -48.59


Entry 7:
This record from the Alexandria database describes a relaxed NpCo4W crystal. The functional is GGA-PBE.

Unit cell a=4.8093 b=4.8093 c=4.8093 alpha=60.00 beta=60.00 gamma=60.00
Positions (direct):
Np (0.0000, 0.0000, 0.0000)
Co (0.3755, 0.3755, 0.3755)
Co (0.3755, 0.3755, 0.8735)
Co (0.3755, 0.8735, 0.3755)
Co (0.8735, 0.3755, 0.3755)
W (0.7500, 0.7500, 0.7500)

DOS(E_F) (states/eV per atom): 1.618
Density (g cm⁻³): 13.86
Total energy (eV/f.u.): -53.608
Energy relative to the elements (kJ per mole of atoms): 11.41


Q: Look up the DOS(E_F) of the first one.
A: 0.760 states/eV per atom